A | ## Al4ZnPt (PBE)

Data for Al4ZnPt after structural relaxation.

```
Al4ZnPt
1.0
-5.753 -0.820 -1.342
1.327 -5.034 -2.908
1.485 -0.157 7.132
Al Zn Pt
8 2 2
direct
0.001 0.246 0.002
0.502 0.756 0.002
0.244 0.498 0.498
0.756 0.502 0.502
0.246 0.001 0.502
0.498 0.244 0.998
0.754 0.999 0.498
0.999 0.754 0.998
0.375 0.625 0.250
0.625 0.375 0.750
0.125 0.875 0.750
0.875 0.125 0.250
```

Summary:
The space-group type is Fddd, No. 70.

***

B | ## Al4ZnPt (PBE)

Data for Al4ZnPt after structural relaxation.

```
Al4ZnPt
1.0
0.000 3.665 3.665
3.665 0.000 3.665
3.665 3.665 0.000
Al Zn Pt
4 1 1
direct
0.625 0.625 0.124
0.625 0.124 0.625
0.625 0.625 0.625
0.124 0.625 0.625
0.000 0.000 0.000
0.250 0.250 0.250
```

Summary:
The space-group type is F-43m, No. 216.

***

Stability check: which of them is most stable? A.

***

A | ## AlZn3Pt (PBE)

Data for AlZn3Pt after structural relaxation.

```
AlZn3Pt
1.0
-2.357 -2.265 -3.296
3.808 -2.441 -1.046
-1.223 -3.235 3.097
Zn Al Pt
3 1 1
direct
0.000 0.500 0.000
0.000 0.000 0.500
0.500 0.000 0.000
0.000 0.000 0.000
0.500 0.500 0.500
```

Summary:
The space-group type is Pm-3m, No. 221.

***

B | ## AlZn3Pt (PBE)

Data for AlZn3Pt after structural relaxation.

```
AlZn3Pt
1.0
-4.473 -1.459 1.148
-0.199 -2.602 -4.080
1.846 -3.816 2.343
Zn Al Pt
3 1 1
direct
0.000 0.500 0.000
0.000 0.000 0.500
0.500 0.000 0.000
0.500 0.500 0.500
0.000 0.000 0.000
```

Summary:
The space-group type is Pm-3m, No. 221.

***

Stability check: which of them is most stable? B.

***

A | ## Al2Zn2Pt (PBE)

Data for Al2Zn2Pt after structural relaxation.

```
Al2Zn2Pt
1.0
-1.368 3.338 5.393
1.696 -5.124 3.601
3.735 1.325 0.127
Zn Al Pt
4 4 2
direct
0.152 0.652 0.500
0.652 0.848 0.500
0.848 0.348 0.500
0.348 0.152 0.500
0.354 0.854 0.000
0.854 0.646 0.000
0.646 0.146 0.000
0.146 0.354 0.000
0.000 0.000 0.000
0.500 0.500 0.000
```

Summary:
The space-group type is P4/mbm, No. 127.

***

B | ## Al2Zn2Pt (PBE)

Data for Al2Zn2Pt after structural relaxation.

```
Al2Zn2Pt
1.0
6.852 -1.224 2.460
5.730 3.432 3.143
-7.172 -1.637 -0.613
Al Zn Pt
2 2 1
direct
0.594 0.594 0.000
0.406 0.406 0.000
0.250 0.750 0.500
0.750 0.250 0.500
0.000 0.000 0.000
```

Summary:
The space-group type is I4/mmm, No. 139.

***

Stability check: which of them is most stable? A.

***

A | ## AlZn2Pt2 (PBE)

Data for AlZn2Pt2 after structural relaxation.

```
AlZn2Pt2
1.0
-5.478 1.671 -4.645
0.407 -6.762 -2.912
-1.888 -0.929 1.893
Zn Al Pt
4 2 4
direct
0.378 0.878 0.000
0.878 0.622 0.000
0.622 0.122 0.000
0.122 0.378 0.000
0.000 0.000 0.000
0.500 0.500 0.000
0.176 0.676 0.500
0.676 0.824 0.500
0.824 0.324 0.500
0.324 0.176 0.500
```

Summary:
The space-group type is P4/mbm, No. 127.

***

B | ## AlZn2Pt2 (PBE)

Data for AlZn2Pt2 after structural relaxation.

```
AlZn2Pt2
1.0
6.581 0.000 0.000
0.000 6.581 0.000
0.000 0.000 3.692
Zn Al Pt
4 2 4
direct
0.149 0.649 0.500
0.649 0.851 0.500
0.851 0.351 0.500
0.351 0.149 0.500
0.000 0.000 0.000
0.500 0.500 0.000
0.347 0.847 0.000
0.847 0.653 0.000
0.653 0.153 0.000
0.153 0.347 0.000
```

Summary:
The space-group type is P4/mbm, No. 127.

***

Stability check: which of them is most stable? B.

***

A | ## AlZnPt4 (PBE)

Data for AlZnPt4 after structural relaxation.

```
AlZnPt4
1.0
-0.769 3.551 1.960
-4.056 -0.663 -0.389
-0.030 -2.834 5.125
Al Zn Pt
1 1 4
direct
0.001 0.997 0.498
0.501 0.497 0.998
0.501 0.997 0.252
0.501 0.997 0.744
0.001 0.497 0.744
0.001 0.497 0.252
```

Summary:
The space-group type is P4/mmm, No. 123.

***

B | ## AlZnPt4 (PBE)

Data for AlZnPt4 after structural relaxation.

```
AlZnPt4
1.0
0.000 3.725 3.725
3.725 0.000 3.725
3.725 3.725 0.000
Al Zn Pt
1 1 4
direct
0.000 0.000 0.000
0.750 0.750 0.750
0.875 0.375 0.375
0.375 0.375 0.875
0.375 0.875 0.375
0.375 0.375 0.375
```

Summary:
The space-group type is F-43m, No. 216.

***

Stability check: which of them is most stable? A.

***

A | ## Pu2AlRh (PBE)

Data for Pu2AlRh after structural relaxation.

```
Pu2AlRh
1.0
3.783 0.000 0.000
0.000 3.783 0.000
0.000 0.000 5.763
Rh Al Pu
1 1 2
direct
0.500 0.500 0.000
0.500 0.500 0.500
0.000 0.000 0.759
0.000 0.000 0.241
```

Summary:
The space-group type is P4/mmm, No. 123.

***

B | ## Pu2AlRh (PBE)

Data for Pu2AlRh after structural relaxation.

```
Pu2AlRh
1.0
-0.453 -0.605 5.067
-2.247 -2.690 -0.522
2.722 -2.268 -0.027
Rh Al Pu
1 1 2
direct
0.500 0.500 0.500
0.500 0.000 0.000
0.000 0.000 0.500
0.000 0.500 0.000
```

Summary:
The space-group type is P4/mmm, No. 123.

***

Stability check: which of them is most stable? A.

***

A | ## PuAlSb2 (PBE)

Data for PuAlSb2 after structural relaxation.

```
PuAlSb2
1.0
4.305 0.000 0.000
0.000 4.685 0.000
0.000 0.000 4.685
Sb Al Pu
2 1 1
direct
0.000 0.000 0.500
0.000 0.500 0.000
0.500 0.000 0.000
0.500 0.500 0.500
```

Summary:
The space-group type is P4/mmm, No. 123.

***

B | ## PuAlSb2 (PBE)

Data for PuAlSb2 after structural relaxation.

```
PuAlSb2
1.0
-2.403 -2.073 0.757
0.550 -2.440 2.095
-3.708 5.245 9.626
Sb Al Pu
2 1 1
direct
0.093 0.093 0.720
0.907 0.907 0.280
0.500 0.500 0.500
0.000 0.000 0.000
```

Summary:
The space-group type is R-3m, No. 166.

***

Stability check: which of them is most stable? A.

***

A | ## PuScAl2 (PBE)

Data for PuScAl2 after structural relaxation.

```
PuScAl2
1.0
4.914 0.000 0.000
2.457 4.256 0.000
2.457 1.419 4.012
Sc Al Pu
1 2 1
direct
0.500 0.500 0.500
0.250 0.250 0.250
0.750 0.750 0.750
0.000 0.000 0.000
```

Summary:
The space-group type is Fm-3m, No. 225.

***

B | ## PuScAl2 (PBE)

Data for PuScAl2 after structural relaxation.

```
PuScAl2
1.0
4.335 0.000 0.000
0.000 4.417 0.000
0.000 0.000 4.417
Sc Al Pu
1 2 1
direct
0.500 0.500 0.500
0.000 0.000 0.500
0.000 0.500 0.000
0.500 0.000 0.000
```

Summary:
The space-group type is P4/mmm, No. 123.

***

Stability check: which of them is most stable? A.

***

A | ## Pu2ScAl (PBE)

Data for Pu2ScAl after structural relaxation.

```
Pu2ScAl
1.0
-2.605 -0.026 -1.864
-2.731 -1.279 1.081
-4.681 9.077 3.662
Sc Al Pu
1 1 2
direct
0.500 0.500 0.500
0.000 0.000 0.000
0.254 0.254 0.238
0.746 0.746 0.762
```

Summary:
The space-group type is R-3m, No. 166.

***

B | ## Pu2ScAl (PBE)

Data for Pu2ScAl after structural relaxation.

```
Pu2ScAl
1.0
-2.959 -2.547 -0.235
-0.175 -0.158 3.904
-4.040 4.693 0.009
Sc Al Pu
1 1 2
direct
0.500 0.500 0.500
0.500 0.500 0.000
0.000 0.000 0.767
0.000 0.000 0.233
```

Summary:
The space-group type is P4/mmm, No. 123.

***

Stability check: which of them is most stable? B.

***

A | ## PuAl3Si (PBE)

Data for PuAl3Si after structural relaxation.

```
PuAl3Si
1.0
-2.004 3.348 1.893
-1.231 -2.591 3.279
5.009 2.469 0.937
Pu Al Si
1 3 1
direct
0.500 0.046 0.092
0.000 0.561 0.122
0.000 0.237 0.474
0.500 0.744 0.489
0.500 0.371 0.742
```

Summary:
The space-group type is Amm2, No. 38.

***

B | ## PuAl3Si (PBE)

Data for PuAl3Si after structural relaxation.

```
PuAl3Si
1.0
3.870 -0.001 1.338
-0.462 3.843 1.342
-0.006 -0.012 6.296
Pu Al Si
1 3 1
direct
0.411 0.214 0.884
0.649 0.952 0.408
0.148 0.452 0.408
0.792 0.596 0.121
0.008 0.811 0.690
```

Summary:
The space-group type is I4mm, No. 107.

***

Stability check: which of them is most stable? B.

***

A | ## Sm2PuAl (PBE)

Data for Sm2PuAl after structural relaxation.

```
Sm2PuAl
1.0
-0.773 -0.930 -3.345
3.445 0.222 -0.858
1.074 -8.493 2.113
Al Sm Pu
1 2 1
direct
0.500 0.500 0.000
0.000 0.000 0.781
0.000 0.000 0.219
0.500 0.500 0.500
```

Summary:
The space-group type is P4/mmm, No. 123.

***

B | ## Sm2PuAl (PBE)

Data for Sm2PuAl after structural relaxation.

```
Sm2PuAl
1.0
5.372 0.000 0.000
2.686 4.652 0.000
2.686 1.551 4.387
Al Sm Pu
1 2 1
direct
0.000 0.000 0.000
0.250 0.250 0.250
0.750 0.750 0.750
0.500 0.500 0.500
```

Summary:
The space-group type is Fm-3m, No. 225.

***

Stability check: which of them is most stable? A.

***

A | ## Tb3PuAl8 (PBE)

Data for Tb3PuAl8 after structural relaxation.

```
Tb3PuAl8
1.0
5.563 0.000 0.000
2.782 4.818 0.000
2.782 1.606 9.112
Tb Pu Al
3 1 8
direct
0.375 0.375 0.874
0.998 0.998 0.007
0.502 0.502 0.495
0.875 0.875 0.375
0.939 0.437 0.187
0.438 0.937 0.688
0.437 0.437 0.187
0.937 0.937 0.688
0.188 0.188 0.437
0.688 0.688 0.937
0.437 0.939 0.187
0.937 0.438 0.688
```

Summary:
The space-group type is R3m, No. 160.

***

B | ## Tb3PuAl8 (PBE)

Data for Tb3PuAl8 after structural relaxation.

```
Tb3PuAl8
1.0
-0.488 5.528 -0.545
0.610 -3.204 -4.522
-9.022 -0.857 -0.610
Tb Pu Al
3 1 8
direct
0.667 0.333 0.437
0.667 0.333 0.066
0.000 0.000 0.924
0.000 0.000 0.569
0.333 0.667 0.501
0.333 0.667 0.002
0.505 0.009 0.750
0.505 0.495 0.750
0.991 0.495 0.750
0.162 0.324 0.250
0.162 0.838 0.250
0.676 0.838 0.250
```

Summary:
The space-group type is P3m1, No. 156.

***

Stability check: which of them is most stable? A.